(1)
LaPr2Sc2 | Alexandria | GGA-PBE | relaxed; theoretical density = 5.28 g/cm3; VASP energy = -5.27 eV/atom; formation energy = 0.158 eV per atom
1.0
4.916 -5.979 0.000
4.916 5.979 0.000
-2.776 0.000 5.460
La Pr Sc
2 4 4
direct
0.055 0.945 0.750 La
0.945 0.055 0.250 La
0.130 0.563 0.306 Pr
0.437 0.870 0.194 Pr
0.563 0.130 0.806 Pr
0.870 0.437 0.694 Pr
0.297 0.411 0.797 Sc
0.411 0.297 0.297 Sc
0.589 0.703 0.703 Sc
0.703 0.589 0.203 Sc

(2)
Hf2CrHg | Alexandria | GGA-PBE | relaxed; theoretical density = 11.73 g/cm3; VASP energy = -6.78 eV/atom; formation energy = 0.681 eV per atom
1.0
-2.065 2.065 10.119
2.065 -2.065 10.119
2.065 2.065 -10.119
Hf Cr Hg
4 2 2
direct
0.122 0.625 0.997 Hf
0.375 0.372 0.497 Hf
0.628 0.125 0.003 Hf
0.875 0.878 0.503 Hf
0.000 0.000 0.000 Cr
0.750 0.250 0.500 Cr
0.250 0.750 0.500 Hg
0.500 0.500 0.000 Hg

(3)
La2CuSe | Alexandria | GGA-PBE | relaxed; theoretical density = 6.13 g/cm3; VASP energy = -5.32 eV/atom
1.0
3.667 -2.117 0.000
3.667 2.117 0.000
-2.423 0.000 7.337
La Cu Se
2 1 1
direct
0.249 0.249 0.251 La
0.751 0.751 0.749 La
0.000 0.000 0.500 Cu
0.500 0.500 0.000 Se

(4)
MnC4Br3N | Alexandria | GGA-PBE | relaxed; theoretical density = 2.79 g/cm3; VASP energy = -5.45 eV/atom
1.0
8.837 0.000 0.000
-4.419 7.653 0.000
0.000 0.000 6.279
Mn C Br N
2 8 6 2
direct
0.000 0.000 0.000 Mn
0.000 0.000 0.500 Mn
0.197 0.573 0.227 C
0.333 0.667 0.061 C
0.376 0.803 0.227 C
0.427 0.624 0.227 C
0.573 0.376 0.727 C
0.624 0.197 0.727 C
0.667 0.333 0.561 C
0.803 0.427 0.727 C
0.025 0.240 0.750 Br
0.215 0.975 0.750 Br
0.240 0.215 0.250 Br
0.760 0.785 0.750 Br
0.785 0.025 0.250 Br
0.975 0.760 0.250 Br
0.333 0.667 0.392 N
0.667 0.333 0.892 N

(5)
K3PbBr6 | Alexandria | GGA-PBE | relaxed; polymorph energy (0 for the lowest one) = 0.006 eV per atom; theoretical density = 3.46 g/cm3; VASP energy = -2.99 eV/atom
1.0
7.942 0.000 0.000
0.000 8.537 0.000
-7.498 0.000 11.364
K Pb Br
6 2 12
direct
0.000 0.000 0.000 K
0.000 0.500 0.500 K
0.207 0.080 0.739 K
0.207 0.420 0.239 K
0.793 0.580 0.761 K
0.793 0.920 0.261 K
0.500 0.000 0.500 Pb
0.500 0.500 0.000 Pb
0.147 0.179 0.443 Br
0.147 0.321 0.943 Br
0.248 0.718 0.417 Br
0.248 0.782 0.917 Br
0.407 0.066 0.266 Br
0.407 0.434 0.766 Br
0.593 0.566 0.234 Br
0.593 0.934 0.734 Br
0.752 0.218 0.083 Br
0.752 0.282 0.583 Br
0.853 0.679 0.057 Br
0.853 0.821 0.557 Br

(6)
HoPuZn10 | Alexandria | GGA-PBE | relaxed; theoretical density = 8.50 g/cm3; VASP energy = -2.83 eV/atom; formation energy = -0.192 eV per atom
1.0
4.242 0.000 0.000
0.000 5.311 0.000
0.000 0.000 9.215
Ho Pu Zn
1 1 10
direct
0.000 0.000 0.000 Ho
0.000 0.500 0.500 Pu
0.000 0.000 0.331 Zn
0.000 0.000 0.669 Zn
0.000 0.500 0.164 Zn
0.000 0.500 0.836 Zn
0.500 0.000 0.500 Zn
0.500 0.250 0.249 Zn
0.500 0.250 0.751 Zn
0.500 0.500 0.000 Zn
0.500 0.750 0.249 Zn
0.500 0.750 0.751 Zn

(7)
AgIr2W | Alexandria | GGA-PBE | relaxed; polymorph energy (0 for the lowest one) = 0.326 eV per atom; theoretical density = 18.15 g/cm3; VASP energy = -8.05 eV/atom; formation energy = 0.329 eV per atom
1.0
4.844 0.000 0.000
0.000 2.790 0.000
-1.838 0.000 4.577
Ag Ir W
1 2 1
direct
0.000 0.000 0.000 Ag
0.500 0.000 0.500 Ir
0.500 0.500 0.000 Ir
0.000 0.500 0.500 W

(8)
PrY2O | Alexandria | GGA-PBE | relaxed; polymorph energy (0 for the lowest one) = 0.435 eV per atom; theoretical density = 6.01 g/cm3; VASP energy = -6.45 eV/atom
1.0
3.213 0.000 0.000
0.000 3.213 0.000
0.000 0.000 8.959
Pr Y O
1 2 1
direct
0.000 0.000 0.000 Pr
0.500 0.500 0.328 Y
0.500 0.500 0.672 Y
0.000 0.000 0.500 O

Copy entry 7 word for word.
AgIr2W | Alexandria | GGA-PBE | relaxed; polymorph energy (0 for the lowest one) = 0.326 eV per atom; theoretical density = 18.15 g/cm3; VASP energy = -8.05 eV/atom; formation energy = 0.329 eV per atom
1.0
4.844 0.000 0.000
0.000 2.790 0.000
-1.838 0.000 4.577
Ag Ir W
1 2 1
direct
0.000 0.000 0.000 Ag
0.500 0.000 0.500 Ir
0.500 0.500 0.000 Ir
0.000 0.500 0.500 W